{"formula": "UFe", "functional": "PBE", "state": "relaxed", "space_group": "No. 194", "e_form_kj_per_mol_fu": 50.1, "cell": [[3.4613, 0.0000, 0.0000], [-1.7307, 2.9976, 0.0000], [0.0000, 0.0000, 6.5802]], "species": ["U", "U", "Fe", "Fe"], "frac_coords": [[0.0000, 0.0000, 0.0000], [0.0000, 0.0000, 0.5000], [0.3333, 0.6667, 0.2500], [0.6667, 0.3333, 0.7500]]}

=====

{"formula": "NaIn4Cu", "functional": "PBE", "state": "relaxed", "total_energy_ev_per_cell": -32.8, "space_group": "No. 63", "cell": [[2.2451, -8.3595, 0.0000], [2.2451, 8.3595, 0.0000], [0.0000, 0.0000, 7.6356]], "species": ["Na", "Na", "In", "In", "In", "In", "In", "In", "In", "In", "Cu", "Cu"], "frac_coords": [[0.1280, 0.8720, 0.7500], [0.8720, 0.1280, 0.2500], [0.0662, 0.9338, 0.2500], [0.3149, 0.6851, 0.5481], [0.3149, 0.6851, 0.9519], [0.5000, 0.5000, 0.0000], [0.5000, 0.5000, 0.5000], [0.6851, 0.3149, 0.0481], [0.6851, 0.3149, 0.4519], [0.9338, 0.0662, 0.7500], [0.2272, 0.7728, 0.2500], [0.7728, 0.2272, 0.7500]]}

=====

{"formula": "TbGdCu2P4", "functional": "PBE", "state": "relaxed", "total_energy_ev_per_cell": -45.4, "space_group": "No. 99", "cell": [[3.7354, 0.0000, 0.0000], [0.0000, 3.7354, 0.0000], [0.0000, 0.0000, 9.7694]], "species": ["Tb", "Gd", "Cu", "Cu", "P", "P", "P", "P"], "frac_coords": [[0.0000, 0.0000, 0.0000], [0.5000, 0.5000, 0.4646], [0.0000, 0.5000, 0.7326], [0.5000, 0.0000, 0.7326], [0.0000, 0.0000, 0.5795], [0.0000, 0.5000, 0.2316], [0.5000, 0.0000, 0.2316], [0.5000, 0.5000, 0.8861]]}

=====

{"formula": "KZrAu", "functional": "PBE", "state": "relaxed", "total_energy_ev_per_cell": -9.0, "space_group": "No. 216", "cell": [[0.0000, 3.4211, 3.4211], [3.4211, 0.0000, 3.4211], [3.4211, 3.4211, 0.0000]], "species": ["K", "Zr", "Au"], "frac_coords": [[0.0000, 0.0000, 0.0000], [0.2500, 0.2500, 0.2500], [0.7500, 0.7500, 0.7500]]}

=====

{"formula": "ScFeNiSn", "functional": "PBE", "state": "relaxed", "total_energy_ev_per_cell": -24.4, "space_group": "No. 216", "cell": [[0.0000, 3.1510, 3.1510], [3.1510, 0.0000, 3.1510], [3.1510, 3.1510, 0.0000]], "species": ["Sc", "Fe", "Ni", "Sn"], "frac_coords": [[0.0000, 0.0000, 0.0000], [0.2500, 0.2500, 0.2500], [0.5000, 0.5000, 0.5000], [0.7500, 0.7500, 0.7500]]}

=====

{"formula": "LuFeNiAs", "functional": "PBE", "state": "relaxed", "total_energy_ev_per_cell": -23.2, "space_group": "No. 216", "cell": [[0.0000, 3.1709, 3.1709], [3.1709, 0.0000, 3.1709], [3.1709, 3.1709, 0.0000]], "species": ["Lu", "Fe", "Ni", "As"], "frac_coords": [[0.0000, 0.0000, 0.0000], [0.7500, 0.7500, 0.7500], [0.5000, 0.5000, 0.5000], [0.2500, 0.2500, 0.2500]]}